--- P ---
The following is a PBE-GGA calculation of a relaxed structure of BaCd3Ag, from the Alexandria database.

Calculated values
Size of the total moment = 0.000 μB per formula unit

Cell lengths 6.8643, 12.4928, 6.6182 Å; angles 90.00, 90.00, 90.00 degrees
With the nearest neighbours (Å) after each atom.
Space group Cmcm (No. 63)
Unique sites:
1 Ba 0.0000 0.2448 0.2500  4 Ag 3.59-3.65, 12 Cd 3.61-3.94
2 Cd 0.0000 0.1292 0.7500  1 Ag 2.83, 4 Cd 2.97
3 Cd 0.2290 0.5000 0.0000  2 Ag 2.91, 3 Cd 2.97-3.14
4 Ag 0.0000 0.3556 0.7500  5 Cd 2.83-2.91

--- Q ---
The following is a PBE-GGA calculation of a relaxed structure of BaCd3Ag, from the Alexandria database.

Calculated values
Size of the total moment = 0.000 μB per formula unit

Cell lengths 6.7727, 10.5105, 8.0624 Å; angles 90.00, 90.00, 90.00 degrees
With the nearest neighbours (Å) after each atom.
Space group Cmcm (No. 63)
Unique sites:
1 Ba 0.0000 0.2440 0.2500  3 Ag 3.65-3.89, 11 Cd 3.67-3.84
2 Cd 0.0000 0.1209 0.7500  1 Ag 2.78, 4 Cd 2.96
3 Cd 0.2396 0.5000 0.0000  2 Ag 2.85, 2 Cd 2.96
4 Ag 0.0000 0.3857 0.7500  5 Cd 2.78-2.85

Which is more stable than every other structure shown? P is more stable than every other one.